Material: CeTe3
Method: DFT, PBE-GGA
State: relaxed

Computed properties:
ρ in g cm⁻³: 6.71
Symmetry: Cmcm (63)
Total moment in Bohr magnetons per cell: 0.9
E_tot in eV/atom: -4.820
D(E_F) in states/eV per cell: 11.32

a b c (Å): 13.382 13.382 4.429
angles (deg): 90.00 90.00 160.95
Each line ends with the local moment (μB).
Element x y z (fractional)
Te  0.922  0.078  0.250  -0.03
Ce  0.670  0.330  0.750  0.56
Te  0.078  0.922  0.750  -0.03
Te  0.578  0.422  0.250  -0.03
Ce  0.330  0.670  0.250  0.56
Te  0.422  0.578  0.750  -0.03
Te  0.205  0.795  0.250  -0.03
Te  0.795  0.205  0.750  -0.03

=====

Material: MgSi2Au
Method: DFT, PBE-GGA
State: relaxed

Computed properties:
ρ in g cm⁻³: 6.53
Symmetry: Cm (8)
Total moment in Bohr magnetons per cell: 0.0
E_tot in eV/atom: -3.850
D(E_F) in states/eV per cell: 0.93

a b c (Å): 4.577 4.577 4.902
angles (deg): 70.52 70.52 47.52
Element x y z (fractional)
Mg  0.746  0.746  0.750
Si  0.977  0.977  0.063
Au  0.513  0.513  0.465
Si  0.264  0.264  0.222

=====

Material: K2TaCdGa
Method: DFT, PBE-GGA
State: relaxed

Computed properties:
ρ in g cm⁻³: 3.19
Symmetry: P4/mmm (123)
Total moment in Bohr magnetons per cell: 2.8
D(E_F) in states/eV per cell: 6.13
Formation energy in eV/atom: 1.086

a b c (Å): 6.716 5.089 6.716
angles (deg): 90.00 90.00 90.00
Each line ends with the local moment (μB).
Element x y z (fractional)
Ga  0.000  0.500  0.000  0.07
Cd  0.500  0.500  0.500  0.00
Ta  0.000  0.000  0.000  1.59
K  0.000  0.000  0.500  0.03
K  0.500  0.000  0.000  0.03

=====

Material: TbTm3Sb3
Method: DFT, PBE-GGA
State: relaxed

Computed properties:
ρ in g cm⁻³: 9.04
Symmetry: P2_13 (198)
Total moment in Bohr magnetons per cell: 0.0
D(E_F) in states/eV per cell: 26.16
Offset from the most stable computed form in meV/atom: 0

a b c (Å): 9.116 9.116 9.116
angles (deg): 90.00 90.00 90.00
Element x y z (fractional)
Sb  0.254  0.123  0.499
Tm  0.425  0.575  0.075
Sb  0.501  0.754  0.377
Tm  0.823  0.677  0.323
Tm  0.323  0.823  0.677
Sb  0.246  0.877  0.999
Tm  0.177  0.177  0.177
Sb  0.999  0.246  0.877
Tm  0.178  0.822  0.322
Tm  0.575  0.075  0.425
Sb  0.754  0.377  0.501
Tm  0.925  0.925  0.925
Tm  0.322  0.178  0.822
Tm  0.677  0.323  0.823
Sb  0.377  0.501  0.754
Sb  0.877  0.999  0.246
Tm  0.075  0.425  0.575
Sb  0.746  0.623  0.001
Tm  0.678  0.678  0.678
Sb  0.499  0.254  0.123
Tb  0.071  0.571  0.929
Tb  0.429  0.429  0.429
Tb  0.571  0.929  0.071
Sb  0.623  0.001  0.746
Tb  0.929  0.071  0.571
Tm  0.822  0.322  0.178
Sb  0.123  0.499  0.254
Sb  0.001  0.746  0.623

=====

Material: Zr2SiBr
Method: DFT, PBE-GGA
State: relaxed

Computed properties:
ρ in g cm⁻³: 5.77
Symmetry: Imm2 (44)
Total moment in Bohr magnetons per cell: 0.0
D(E_F) in states/eV per cell: 5.23
Offset from the most stable computed form in meV/atom: 418

a b c (Å): 6.173 6.173 6.173
angles (deg): 150.17 134.01 55.79
Element x y z (fractional)
Si  0.767  0.267  0.500
Zr  0.268  0.768  0.500
Br  0.480  0.480  0.000
Zr  0.985  0.985  0.000

=====

Material: PmErSn
Method: DFT, PBE-GGA
State: relaxed

Computed properties:
ρ in g cm⁻³: 8.32
Symmetry: P2_1/m (11)
Total moment in Bohr magnetons per cell: 0.0
D(E_F) in states/eV per cell: 3.56
Offset from the most stable computed form in meV/atom: 58
Formation energy in eV/atom: -0.554

a b c (Å): 4.374 4.854 8.392
angles (deg): 90.00 105.05 89.99
Element x y z (fractional)
Sn  0.537  0.525  0.760
Er  0.183  0.525  0.051
Pm  0.005  0.025  0.696
Sn  0.323  0.026  0.333
Er  0.678  0.025  0.042
Pm  0.855  0.525  0.398

=====

Material: LaTbLuIn
Method: DFT, PBE-GGA
State: relaxed

Computed properties:
ρ in g cm⁻³: 8.18
Symmetry: F-43m (216)
Total moment in Bohr magnetons per cell: 0.7
D(E_F) in states/eV per cell: 6.25
Formation energy in eV/atom: -0.167

a b c (Å): 5.525 5.525 5.525
angles (deg): 60.00 60.00 60.00
Each line ends with the local moment (μB).
Element x y z (fractional)
In  0.750  0.750  0.750  -0.01
Tb  0.000  0.000  0.000  0.18
La  0.500  0.500  0.500  0.11
Lu  0.250  0.250  0.250  0.18

=====

Material: TmMg4Sc
Method: DFT, PBE-GGA
State: relaxed

Computed properties:
ρ in g cm⁻³: 3.53
Symmetry: P2/m (10)
Total moment in Bohr magnetons per cell: 0.0
D(E_F) in states/eV per cell: 4.48
Offset from the most stable computed form in meV/atom: 0
Formation energy in eV/atom: -0.031

a b c (Å): 5.130 3.201 9.456
angles (deg): 109.73 90.00 90.00
Element x y z (fractional)
Tm  0.000  0.000  0.000
Sc  0.500  0.500  0.500
Mg  0.500  0.669  0.172
Mg  0.500  0.331  0.828
Mg  0.000  0.165  0.662
Mg  0.000  0.835  0.338

=====

Material: SrSi3O
Method: DFT, PBE-GGA
State: relaxed

Computed properties:
ρ in g cm⁻³: 3.51
Symmetry: Pm-3m (221)
Total moment in Bohr magnetons per cell: 0.0
D(E_F) in states/eV per cell: 2.12
Offset from the most stable computed form in meV/atom: 0

a b c (Å): 4.461 4.461 4.461
angles (deg): 90.00 90.00 90.00
Element x y z (fractional)
O  0.000  0.000  0.000
Si  0.000  0.000  0.500
Si  0.000  0.500  0.000
Si  0.500  0.000  0.000
Sr  0.500  0.500  0.500

=====

Material: Ac4Si3Ni
Method: DFT, PBE-GGA
State: relaxed

Computed properties:
ρ in g cm⁻³: 7.77
Symmetry: Pmm2 (25)
Total moment in Bohr magnetons per cell: 0.0
E_tot in eV/atom: -5.312
D(E_F) in states/eV per cell: 7.97

a b c (Å): 4.602 4.153 11.758
angles (deg): 90.00 90.00 90.00
Element x y z (fractional)
Si  0.000  0.500  0.564
Ac  0.500  0.500  0.358
Si  0.500  0.000  0.946
Ac  0.000  0.000  0.140
Ni  0.500  0.500  0.045
Si  0.000  0.000  0.438
Ac  0.000  0.500  0.864
Ac  0.500  0.000  0.645

=====

Material: LiMn2Fe
Method: DFT, PBE-GGA
State: relaxed

Computed properties:
ρ in g cm⁻³: 6.27
Symmetry: Cmmm (65)
Total moment in Bohr magnetons per cell: 2.6
D(E_F) in states/eV per cell: 3.56
Offset from the most stable computed form in meV/atom: 44
Formation energy in eV/atom: 0.267

a b c (Å): 2.383 2.383 8.501
angles (deg): 90.00 90.00 108.69
Each line ends with the local moment (μB).
Element x y z (fractional)
Mn  0.000  0.000  0.015  0.29
Li  0.500  0.500  0.750  -0.01
Mn  0.000  0.000  0.485  0.29
Fe  0.500  0.500  0.250  2.08

=====

Material: BaLiCu
Method: DFT, PBE-GGA
State: relaxed

Computed properties:
ρ in g cm⁻³: 3.44
Symmetry: F-43m (216)
Total moment in Bohr magnetons per cell: 0.0
D(E_F) in states/eV per cell: 1.41
Offset from the most stable computed form in meV/atom: 164
Formation energy in eV/atom: 0.156

a b c (Å): 5.217 5.217 5.217
angles (deg): 60.00 60.00 60.00
Element x y z (fractional)
Ba  0.500  0.500  0.500
Cu  0.750  0.750  0.750
Li  0.000  0.000  0.000